No. 1
# Fe11Mo6C5 SCAN PBEsol geometry
# ΔE_f   0.10 eV per atom
# Energy   -20.77 eV per atom
# Magnetization   11.2 μB/cell
data_Fe11Mo6C5
_space_group_name_H-M_alt 'C 1 2/m 1'
_space_group_IT_number 12
_cell_length_a 10.723
_cell_length_b 7.570
_cell_length_c 6.398
_cell_angle_alpha 90.00
_cell_angle_beta 120.27
_cell_angle_gamma 90.00
loop_
_space_group_symop_operation_xyz
'x,y,z'
'-x,-y,-z'
'-x,y,-z'
'x,-y,z'
'x+1/2,y+1/2,z'
'-x+1/2,-y+1/2,-z'
'-x+1/2,y+1/2,-z'
'x+1/2,-y+1/2,z'
loop_
_atom_site_label
_atom_site_fract_x
_atom_site_fract_y
_atom_site_fract_z
Fe1 0.000 0.000 0.000
Fe2 0.000 0.346 0.500
Fe3 0.136 0.500 0.339
Fe4 0.142 0.162 0.376
Fe5 0.239 0.500 0.794
Mo1 0.114 0.300 0.960
Mo2 0.118 0.000 0.715
C1 0.000 0.500 0.000
C2 0.196 0.260 0.690



No. 2
# CuSeI2 SCAN PBEsol geometry
# Formation energy from raw total energies   -37 meV/atom
# Energy   -27.23 eV per atom
# Magnetization   0.0 μB/cell
data_CuSeI2
_space_group_name_H-M_alt 'C 1 m 1'
_space_group_IT_number 8
_cell_length_a 7.123
_cell_length_b 3.776
_cell_length_c 8.911
_cell_angle_alpha 90.00
_cell_angle_beta 110.84
_cell_angle_gamma 90.00
loop_
_space_group_symop_operation_xyz
'x,y,z'
'x,-y,z'
'x+1/2,y+1/2,z'
'x+1/2,-y+1/2,z'
loop_
_atom_site_label
_atom_site_fract_x
_atom_site_fract_y
_atom_site_fract_z
Cu1 0.000 0.000 0.000
Se1 0.373 0.000 0.107
I1 0.424 0.000 0.776
I2 0.442 0.000 0.414



No. 3
# Ta2SiHgRh SCAN PBEsol geometry
# Formation energy from raw total energies   2239 meV/atom
# Energy   -46.79 eV per atom
# Magnetization   0.0 μB/cell
data_Ta2SiHgRh
_space_group_name_H-M_alt 'P 4/m m m'
_space_group_IT_number 123
_space_group_name_Hall '-P 4 2'
_cell_length_a 4.930
_cell_length_b 4.930
_cell_length_c 4.791
_cell_angle_alpha 90.00
_cell_angle_beta 90.00
_cell_angle_gamma 90.00
loop_
_atom_site_label
_atom_site_fract_x
_atom_site_fract_y
_atom_site_fract_z
Ta1 0.000 0.500 0.000
Si1 0.000 0.000 0.500
Hg1 0.500 0.500 0.000
Rh1 0.500 0.500 0.500